1.
Density functional theory data (GGA-PBE) for a relaxed LaGaFe3 crystal.

## Properties
The distance to the lowest polymorph of the same formula comes out at 1096.6 meV per atom. The value obtained for the formation energy is 1624 meV/atom. Its calculated density is 6.1 g cm⁻³. As for the total moment: 5.836 μB per formula unit. For the electronic total energy, the calculation gives -25.2 eV for the cell shown.

Geometry as CIF:
```
data_LaGaFe3
_chemical_formula_sum 'La1 Ga1 Fe3'
_space_group_name_H-M_alt 'P m -3 m'
_space_group_IT_number 221
_space_group_name_Hall '-P 4 2 3'
_cell_length_a 4.672
_cell_length_b 4.672
_cell_length_c 4.672
_cell_angle_alpha 90.00
_cell_angle_beta 90.00
_cell_angle_gamma 90.00
loop_
_atom_site_label
_atom_site_type_symbol
_atom_site_fract_x
_atom_site_fract_y
_atom_site_fract_z
La1 La 0.000 0.000 0.000
Ga1 Ga 0.500 0.500 0.500
Fe1 Fe 0.000 0.000 0.500
```

2.
Density functional theory data (GGA-PBE) for a relaxed PuCd2 crystal.

## Properties
The value obtained for the formation energy is -53 meV/atom. Its calculated density is 10.9 g cm⁻³. As for the total moment: 5.832 μB per formula unit. For the electronic total energy, the calculation gives -32.6 eV for the cell shown.

Geometry as CIF:
```
data_PuCd2
_chemical_formula_sum 'Pu2 Cd4'
_space_group_name_H-M_alt 'I 4/m m m'
_space_group_IT_number 139
_space_group_name_Hall '-I 4 2'
_cell_length_a 3.131
_cell_length_b 3.131
_cell_length_c 14.548
_cell_angle_alpha 90.00
_cell_angle_beta 90.00
_cell_angle_gamma 90.00
loop_
_atom_site_label
_atom_site_type_symbol
_atom_site_fract_x
_atom_site_fract_y
_atom_site_fract_z
Pu1 Pu 0.000 0.000 0.000
Cd1 Cd 0.000 0.000 0.328
```

3.
Density functional theory data (GGA-PBE) for a relaxed LiGdTh crystal.

## Properties
The distance to the lowest polymorph of the same formula comes out at 0.0 meV per atom. The value obtained for the formation energy is 119 meV/atom. Its calculated density is 7.8 g cm⁻³. As for the total moment: 7.371 μB per formula unit. For the electronic total energy, the calculation gives -46.1 eV for the cell shown.

Geometry as CIF:
```
data_LiGdTh
_chemical_formula_sum 'Li2 Gd2 Th2'
_space_group_name_H-M_alt 'I 4 m m'
_space_group_IT_number 107
_space_group_name_Hall 'I 4 -2'
_cell_length_a 3.613
_cell_length_b 3.613
_cell_length_c 12.969
_cell_angle_alpha 90.00
_cell_angle_beta 90.00
_cell_angle_gamma 90.00
loop_
_atom_site_label
_atom_site_type_symbol
_atom_site_fract_x
_atom_site_fract_y
_atom_site_fract_z
Li1 Li 0.000 0.000 0.000
Gd1 Gd 0.000 0.000 0.656
Th1 Th 0.000 0.000 0.339
```

4.
Density functional theory data (GGA-PBE) for a relaxed MnNiPt3 crystal.

## Properties
The distance to the lowest polymorph of the same formula comes out at 0.0 meV per atom. The value obtained for the formation energy is -252 meV/atom. Its calculated density is 16.1 g cm⁻³. As for the total moment: 4.882 μB per formula unit. For the electronic total energy, the calculation gives -137.3 eV for the cell shown.

Geometry as CIF:
```
data_MnNiPt3
_chemical_formula_sum 'Mn4 Ni4 Pt12'
_space_group_name_H-M_alt 'C m c m'
_space_group_IT_number 63
_space_group_name_Hall '-C 2c 2'
_cell_length_a 3.898
_cell_length_b 18.976
_cell_length_c 3.887
_cell_angle_alpha 90.00
_cell_angle_beta 90.00
_cell_angle_gamma 90.00
loop_
_atom_site_label
_atom_site_type_symbol
_atom_site_fract_x
_atom_site_fract_y
_atom_site_fract_z
Mn1 Mn 0.000 0.152 0.250
Ni1 Ni 0.000 0.349 0.250
Pt1 Pt 0.000 0.057 0.750
Pt2 Pt 0.000 0.250 0.750
Pt3 Pt 0.000 0.445 0.750
```

5.
Density functional theory data (GGA-PBE) for a relaxed PbW crystal.

## Properties
The distance to the lowest polymorph of the same formula comes out at 110.7 meV per atom. The value obtained for the formation energy is 605 meV/atom. Its calculated density is 13.5 g cm⁻³. As for the total moment: 0.000 μB per formula unit. For the electronic total energy, the calculation gives -30.9 eV for the cell shown.

Geometry as CIF:
```
data_PbW
_chemical_formula_sum 'Pb2 W2'
_space_group_name_H-M_alt 'P -3 m 1'
_space_group_IT_number 164
_space_group_name_Hall '-P 3 2"'
_cell_length_a 3.1987
_cell_length_b 3.1987
_cell_length_c 10.8413
_cell_angle_alpha 90.00
_cell_angle_beta 90.00
_cell_angle_gamma 120.00
loop_
_atom_site_label
_atom_site_type_symbol
_atom_site_fract_x
_atom_site_fract_y
_atom_site_fract_z
Pb1 Pb 0.3333 0.6667 0.3271
W1 W 0.3333 0.6667 0.9188
```

6.
Density functional theory data (GGA-PBE) for a relaxed Li3In4Sn4 crystal.

## Properties
The value obtained for the formation energy is -128 meV/atom. Its calculated density is 5.9 g cm⁻³. As for the total moment: 0.000 μB per formula unit. For the electronic total energy, the calculation gives -34.1 eV for the cell shown.

Geometry as CIF:
```
data_Li3In4Sn4
_chemical_formula_sum 'Li3 In4 Sn4'
_space_group_name_H-M_alt 'P -1'
_space_group_IT_number 2
_space_group_name_Hall '-P 1'
_cell_length_a 3.369
_cell_length_b 4.230
_cell_length_c 18.906
_cell_angle_alpha 83.80
_cell_angle_beta 85.07
_cell_angle_gamma 89.96
loop_
_atom_site_label
_atom_site_type_symbol
_atom_site_fract_x
_atom_site_fract_y
_atom_site_fract_z
Li1 Li 0.000 0.000 0.000
Li2 Li 0.367 0.370 0.262
In1 In 0.092 0.087 0.823
In2 In 0.276 0.278 0.445
Sn1 Sn 0.173 0.171 0.657
Sn2 Sn 0.454 0.457 0.086
```

7.
Density functional theory data (GGA-PBE) for a relaxed CeAu2Cl8 crystal.

## Properties
The distance to the lowest polymorph of the same formula comes out at 31.2 meV per atom. Its calculated density is 3.7 g cm⁻³. The value obtained for the energy relative to the elements, uncorrected is -881 kJ/mol of formula units. As for the total moment: 0.000 μB per formula unit. For the electronic total energy, the calculation gives -72.8 eV for the cell shown.

Geometry as CIF:
```
data_CeAu2Cl8
_chemical_formula_sum 'Ce2 Au4 Cl16'
_space_group_name_H-M_alt 'C 1 2/m 1'
_space_group_IT_number 12
_space_group_name_Hall '-C 2y'
_cell_length_a 12.746
_cell_length_b 7.841
_cell_length_c 7.428
_cell_angle_alpha 90.00
_cell_angle_beta 91.71
_cell_angle_gamma 90.00
loop_
_atom_site_label
_atom_site_type_symbol
_atom_site_fract_x
_atom_site_fract_y
_atom_site_fract_z
Ce1 Ce 0.000 0.000 0.000
Au1 Au 0.217 0.500 0.364
Cl1 Cl 0.080 0.500 0.560
Cl2 Cl 0.103 0.000 0.671
Cl3 Cl 0.124 0.233 0.131
```

8.
Density functional theory data (GGA-PBE) for a relaxed Li2Hg2Pt crystal.

## Properties
The distance to the lowest polymorph of the same formula comes out at 169.5 meV per atom. The value obtained for the formation energy is -188 meV/atom. Its calculated density is 12.2 g cm⁻³. As for the total moment: 0.000 μB per formula unit. For the electronic total energy, the calculation gives -22.8 eV for the cell shown.

Geometry as CIF:
```
data_Li2Hg2Pt
_chemical_formula_sum 'Li4 Hg4 Pt2'
_space_group_name_H-M_alt 'P 4/m b m'
_space_group_IT_number 127
_space_group_name_Hall '-P 4 2ab'
_cell_length_a 7.379
_cell_length_b 7.379
_cell_length_c 3.048
_cell_angle_alpha 90.00
_cell_angle_beta 90.00
_cell_angle_gamma 90.00
loop_
_atom_site_label
_atom_site_type_symbol
_atom_site_fract_x
_atom_site_fract_y
_atom_site_fract_z
Li1 Li 0.143 0.357 0.000
Hg1 Hg 0.155 0.655 0.500
Pt1 Pt 0.000 0.000 0.000
```

Copy entry 3 word for word.
Density functional theory data (GGA-PBE) for a relaxed LiGdTh crystal.

## Properties
The distance to the lowest polymorph of the same formula comes out at 0.0 meV per atom. The value obtained for the formation energy is 119 meV/atom. Its calculated density is 7.8 g cm⁻³. As for the total moment: 7.371 μB per formula unit. For the electronic total energy, the calculation gives -46.1 eV for the cell shown.

Geometry as CIF:
```
data_LiGdTh
_chemical_formula_sum 'Li2 Gd2 Th2'
_space_group_name_H-M_alt 'I 4 m m'
_space_group_IT_number 107
_space_group_name_Hall 'I 4 -2'
_cell_length_a 3.613
_cell_length_b 3.613
_cell_length_c 12.969
_cell_angle_alpha 90.00
_cell_angle_beta 90.00
_cell_angle_gamma 90.00
loop_
_atom_site_label
_atom_site_type_symbol
_atom_site_fract_x
_atom_site_fract_y
_atom_site_fract_z
Li1 Li 0.000 0.000 0.000
Gd1 Gd 0.000 0.000 0.656
Th1 Th 0.000 0.000 0.339
```

Which formula does entry 3 have?
LiGdTh